# Sr2PaHS5 GGA-PBE relaxed
# Mass density in kg/m3: 4347
# Uncorrected energy in eV per atom: -5.6821
# Crystal system: orthorhombic
# Calculated volume in A^3/atom: 24.1
data_Sr2PaHS5
_symmetry_space_group_name_H-M 'C m c 21'
_symmetry_Int_Tables_number 36
_cell_length_a 4.128
_cell_length_b 17.193
_cell_length_c 12.220
_cell_angle_alpha 90.00
_cell_angle_beta 90.00
_cell_angle_gamma 90.00
loop_
_symmetry_equiv_pos_as_xyz
'x,y,z'
'-x,-y,z+1/2'
'-x,y,z'
'x,-y,z+1/2'
'x+1/2,y+1/2,z'
'-x+1/2,-y+1/2,z+1/2'
'-x+1/2,y+1/2,z'
'x+1/2,-y+1/2,z+1/2'
loop_
_atom_site_label
_atom_site_fract_x
_atom_site_fract_y
_atom_site_fract_z
Sr1 0.000 0.105 0.000
Sr2 0.000 0.125 0.642
Pa1 0.000 0.198 0.339
H1 0.000 0.472 0.710
S1 0.000 0.057 0.382
S2 0.000 0.286 0.984
S3 0.000 0.305 0.696
S4 0.000 0.352 0.327
S5 0.000 0.500 0.107